Entry 1:
! Cd5Ag | Alexandria | PBE | optimized geometry; values from VASP
! Crystal system: orthorhombic
! Total energy (eV/cell): -7.39
! N(E_F) (states/eV per cell): 1.9
! Volume (Å³ per cell): 128
! Space group: Cmmm, No. 65
&SYSTEM
  ibrav = 0, nat = 6, ntyp = 2
/
ATOMIC_SPECIES
Cd 112.41 Cd.upf
Ag 107.87 Ag.upf
CELL_PARAMETERS angstrom
2.2490 -6.4023 0.0000
2.2490 6.4023 0.0000
0.0000 0.0000 4.4526
ATOMIC_POSITIONS angstrom
Cd 0.0000 0.0000 0.0000
Cd 2.2490 4.3127 2.2263
Cd 2.2490 2.0918 0.0000
Cd 2.2490 -2.0918 0.0000
Cd 2.2490 -4.3127 2.2263
Ag 2.2490 0.0000 2.2263



Entry 2:
! Cd5Ag4 | Alexandria | PBE | optimized geometry; values from VASP
! Crystal system: hexagonal
! Total energy (eV/cell): -32.33
! Distance to the lowest polymorph of the same formula (kJ/mol of formula units): 17
! N(E_F) (states/eV per cell): 4.4
! Volume (Å³ per cell): 358
! Space group: P6_3/mcm, No. 193
&SYSTEM
  ibrav = 0, nat = 18, ntyp = 2
/
ATOMIC_SPECIES
Cd 112.41 Cd.upf
Ag 107.87 Ag.upf
CELL_PARAMETERS angstrom
8.4535 0.0000 0.0000
-4.2268 7.3210 0.0000
0.0000 0.0000 5.7814
ATOMIC_POSITIONS angstrom
Cd -1.2691 2.1982 1.4453
Cd -2.9576 5.1228 4.3360
Cd 2.5382 0.0000 1.4453
Cd 1.2691 2.1982 4.3360
Cd 0.0000 4.8806 0.0000
Cd 0.0000 4.8806 2.8907
Cd 4.2268 2.4403 0.0000
Cd 4.2268 2.4403 2.8907
Cd 5.9153 0.0000 4.3360
Cd 2.9576 5.1228 1.4453
Ag 0.0000 0.0000 0.0000
Ag 0.0000 0.0000 2.8907
Ag -1.5405 2.6682 4.3360
Ag -2.6863 4.6528 1.4453
Ag 3.0810 0.0000 4.3360
Ag 1.5405 2.6682 1.4453
Ag 5.3726 0.0000 1.4453
Ag 2.6863 4.6528 4.3360



Entry 3:
! CdAg5 | Alexandria | PBE | optimized geometry; values from VASP
! Crystal system: hexagonal
! Total energy (eV/cell): -14.44
! Distance to the lowest polymorph of the same formula (kJ/mol of formula units): 82
! N(E_F) (states/eV per cell): 1.5
! Volume (Å³ per cell): 124
! Space group: P6/mmm, No. 191
&SYSTEM
  ibrav = 0, nat = 6, ntyp = 2
/
ATOMIC_SPECIES
Cd 112.41 Cd.upf
Ag 107.87 Ag.upf
CELL_PARAMETERS angstrom
5.4810 0.0000 0.0000
-2.7405 4.7467 0.0000
0.0000 0.0000 4.7669
ATOMIC_POSITIONS angstrom
Cd 0.0000 0.0000 0.0000
Ag -1.3703 2.3734 2.3834
Ag 0.0000 3.1645 0.0000
Ag 2.7405 0.0000 2.3834
Ag 1.3703 2.3734 2.3834
Ag 2.7405 1.5822 0.0000



Entry 4:
! Ce2Cd12Ag5 | Alexandria | PBE | optimized geometry; values from VASP
! Crystal system: trigonal
! Total energy (eV/cell): -39.28
! N(E_F) (states/eV per cell): 23.8
! Volume (Å³ per cell): 421
! Space group: R-3m, No. 166
&SYSTEM
  ibrav = 0, nat = 19, ntyp = 3
/
ATOMIC_SPECIES
Ce 140.12 Ce.upf
Cd 112.41 Cd.upf
Ag 107.87 Ag.upf
CELL_PARAMETERS angstrom
4.9794 2.8749 4.9019
-4.9794 2.8749 4.9019
0.0000 -5.7498 4.9019
ATOMIC_POSITIONS angstrom
Ce 0.0000 0.0000 2.3842
Ce 0.0000 0.0000 12.3214
Cd 0.0000 -2.8883 4.6509
Cd -2.5013 1.4442 4.6509
Cd -1.4767 -2.5577 7.3528
Cd -2.9534 0.0000 7.3528
Cd -2.5013 -1.4442 10.0547
Cd 1.4767 -2.5577 7.3528
Cd -1.4767 2.5577 7.3528
Cd 2.5013 1.4441 4.6509
Cd 2.9534 0.0000 7.3528
Cd 1.4767 2.5577 7.3528
Cd 2.5013 -1.4441 10.0547
Cd 0.0000 2.8883 10.0547
Ag -2.4897 -1.4374 4.9019
Ag 0.0000 0.0000 5.7982
Ag -2.4897 1.4374 9.8037
Ag 0.0000 2.8749 4.9019
Ag 0.0000 0.0000 8.9074



Entry 5:
! Ce4CdAg | Alexandria | PBE | optimized geometry; values from VASP
! Crystal system: orthorhombic
! Total energy (eV/cell): -27.86
! N(E_F) (states/eV per cell): 13.9
! Volume (Å³ per cell): 141
! Space group: Immm, No. 71
&SYSTEM
  ibrav = 0, nat = 6, ntyp = 3
/
ATOMIC_SPECIES
Ce 140.12 Ce.upf
Cd 112.41 Cd.upf
Ag 107.87 Ag.upf
CELL_PARAMETERS angstrom
-2.5372 2.9510 4.7246
2.5372 -2.9510 4.7246
2.5372 2.9510 -4.7246
ATOMIC_POSITIONS angstrom
Ce 2.5372 -1.5263 3.0397
Ce 0.0000 1.4247 1.6849
Ce 2.5372 1.5263 3.0397
Ce 0.0000 4.4773 1.6849
Cd 0.0000 0.0000 4.7246
Ag 2.5372 0.0000 0.0000



Entry 6:
! Ce2Cd3Ag2 | Alexandria | PBE | optimized geometry; values from VASP
! Crystal system: orthorhombic
! Total energy (eV/cell): -41.98
! Distance to the lowest polymorph of the same formula (kJ/mol of formula units): 14
! N(E_F) (states/eV per cell): 23.1
! Volume (Å³ per cell): 329
! Space group: Cmcm, No. 63
&SYSTEM
  ibrav = 0, nat = 14, ntyp = 3
/
ATOMIC_SPECIES
Ce 140.12 Ce.upf
Cd 112.41 Cd.upf
Ag 107.87 Ag.upf
CELL_PARAMETERS angstrom
2.4314 -10.1991 0.0000
2.4314 10.1991 0.0000
0.0000 0.0000 6.6380
ATOMIC_POSITIONS angstrom
Ce 2.4314 10.0520 4.9785
Ce 2.4314 7.2914 4.9785
Ce 2.4314 -7.2914 1.6595
Ce 2.4314 -10.0520 1.6595
Cd 2.4314 6.8411 1.6595
Cd 2.4314 1.5528 3.4276
Cd 2.4314 1.5528 6.5294
Cd 2.4314 -1.5528 0.1086
Cd 2.4314 -1.5528 3.2104
Cd 2.4314 -6.8411 4.9785
Ag 2.4314 4.3899 3.3796
Ag 2.4314 4.3899 6.5774
Ag 2.4314 -4.3899 0.0606
Ag 2.4314 -4.3899 3.2584



Which total magnetic moment belongs to each record? In order, 0.000, 0.000, 0.000, 0.126, 0.079, 0.291 μB/atom.